The following is a PBE calculation of a relaxed structure of AcTaO3, from OQMD via LeMat-Bulk.

- Electronic total energy: -8.84 eV per atom
- Total magnetic moment: 0.00 μB/f.u.
- Space group: R-3c

abc: 5.715 5.715 5.715
angles: 61.25 61.25 61.25
Fractional coordinates of all 10 atoms:
Ac 0.250 0.250 0.250
Ac 0.750 0.750 0.750
O 0.278 0.222 0.750
O 0.750 0.278 0.222
O 0.722 0.778 0.250
O 0.222 0.750 0.278
O 0.778 0.250 0.722
O 0.250 0.722 0.778
Ta 0.000 0.000 0.000
Ta 0.500 0.500 0.500


The following is a PBE calculation of a relaxed structure of NdAlGe, from OQMD via LeMat-Bulk.

- Electronic total energy: -4.61 eV per atom
- Total magnetic moment: 0.00 μB/f.u.
- Space group: P-62m

abc: 7.759 7.759 4.178
angles: 90.00 90.00 120.00
Fractional coordinates of all 9 atoms:
Al 0.401 0.000 0.500
Al 0.000 0.401 0.500
Al 0.599 0.599 0.500
Nd 0.000 0.721 0.000
Nd 0.721 0.000 0.000
Nd 0.279 0.279 0.000
Ge 0.333 0.667 0.000
Ge 0.000 0.000 0.500
Ge 0.667 0.333 0.000


The following is a PBE calculation of a relaxed structure of DyErCS, from OQMD via LeMat-Bulk.

- Electronic total energy: -6.90 eV per atom
- Total magnetic moment: 0.00 μB/f.u.
- Space group: P-3m1

abc: 3.685 3.685 12.834
angles: 90.00 90.00 120.00
Fractional coordinates of all 8 atoms:
Dy 0.667 0.333 0.105
Dy 0.333 0.667 0.895
C 0.000 0.000 0.000
C 0.000 0.000 0.500
S 0.333 0.667 0.253
S 0.667 0.333 0.747
Er 0.667 0.333 0.397
Er 0.333 0.667 0.603


The following is a PBE calculation of a relaxed structure of BaLi2Ag, from OQMD via LeMat-Bulk.

- Electronic total energy: -2.14 eV per atom
- Space group: F-43m

abc: 5.449 5.449 5.449
angles: 60.00 60.00 60.00
Fractional coordinates of all 4 atoms:
Ba 0.750 0.750 0.750
Ag 0.500 0.500 0.500
Li 0.250 0.250 0.250
Li 0.000 0.000 0.000


The following is a PBE calculation of a relaxed structure of CuMo4AuN2, from OQMD via LeMat-Bulk.

- Electronic total energy: -8.32 eV per atom
- Total magnetic moment: 0.01 μB/f.u.
- Space group: P-6m2

abc: 2.842 2.842 14.862
angles: 90.00 90.00 120.00
Fractional coordinates of all 8 atoms:
Mo 0.667 0.333 0.165
Mo 0.333 0.667 0.648
Mo 0.333 0.667 0.352
Mo 0.667 0.333 0.835
N 0.000 0.000 0.258
N 0.000 0.000 0.742
Au 0.333 0.667 0.000
Cu 0.667 0.333 0.500


The following is a PBE calculation of a relaxed structure of FeTcBW, from OQMD via LeMat-Bulk.

- Energy relative to the lowest polymorph listed for this composition: 0.000 eV per formula unit
- Electronic total energy: -9.25 eV per atom
- Total magnetic moment: 0.01 μB/f.u.
- Space group: F-43m

abc: 4.096 4.096 4.096
angles: 60.00 60.00 60.00
Fractional coordinates of all 4 atoms:
W 0.500 0.500 0.500
B 0.000 0.000 0.000
Tc 0.250 0.250 0.250
Fe 0.750 0.750 0.750


The following is a PBE calculation of a relaxed structure of Tm, from OQMD via LeMat-Bulk.

- Formation enthalpy at 0 K: 950 meV per atom
- Energy relative to the lowest polymorph listed for this composition: 0.950 eV per formula unit
- Electronic total energy: -3.52 eV per atom
- Total magnetic moment: 0.02 μB/f.u.
- Space group: P6_3/mmc

abc: 5.428 5.428 5.398
angles: 90.00 90.00 120.00
Each line ends with the local moment (μB).
Fractional coordinates of all 4 atoms:
Tm 0.667 0.333 0.750  0.00
Tm 0.333 0.667 0.250  0.00
Tm 0.000 0.000 0.750  0.06
Tm 0.000 0.000 0.250  0.06


The following is a PBE calculation of a relaxed structure of Dy2YCdIr4, from OQMD via LeMat-Bulk.

- Formation enthalpy at 0 K: -557 meV per atom
- Electronic total energy: -7.05 eV per atom
- Total magnetic moment: 0.01 μB/f.u.
- Space group: P4/mmm

abc: 4.776 4.776 6.762
angles: 90.00 90.00 90.00
Fractional coordinates of all 8 atoms:
Y 0.500 0.500 0.000
Dy 0.500 0.500 0.500
Dy 0.000 0.000 0.000
Ir 0.500 0.000 0.250
Ir 0.000 0.500 0.750
Ir 0.000 0.500 0.250
Ir 0.500 0.000 0.750
Cd 0.000 0.000 0.500


The following is a PBE calculation of a relaxed structure of Pm2Zn3Ir2, from OQMD via LeMat-Bulk.

- Formation enthalpy at 0 K: -554 meV per atom
- Electronic total energy: -4.98 eV per atom
- Total magnetic moment: 0.01 μB/f.u.
- Space group: C2/m

abc: 5.433 5.433 7.163
angles: 111.24 111.24 45.15
Fractional coordinates of all 7 atoms:
Ir 0.863 0.863 0.305
Ir 0.137 0.137 0.695
Zn 0.358 0.358 0.059
Zn 0.642 0.642 0.941
Zn 0.500 0.500 0.500
Pm 0.854 0.854 0.729
Pm 0.146 0.146 0.271


The following is a PBE calculation of a relaxed structure of PmNdIr4, from OQMD via LeMat-Bulk.

- Formation enthalpy at 0 K: -716 meV per atom
- Electronic total energy: -8.20 eV per atom
- Total magnetic moment: 0.00 μB/f.u.
- Space group: F-43m

abc: 5.420 5.420 5.420
angles: 60.00 60.00 60.00
Fractional coordinates of all 6 atoms:
Ir 0.625 0.625 0.625
Ir 0.625 0.625 0.125
Ir 0.125 0.625 0.625
Ir 0.625 0.125 0.625
Nd 0.000 0.000 0.000
Pm 0.250 0.250 0.250


The following is a PBE calculation of a relaxed structure of ScAl2Zn, from OQMD via LeMat-Bulk.

- Electronic total energy: -4.15 eV per atom
- Total magnetic moment: 0.00 μB/f.u.
- Space group: Ama2

abc: 4.677 5.809 5.809
angles: 120.25 90.00 90.00
Fractional coordinates of all 8 atoms:
Sc 0.250 0.666 0.334
Sc 0.750 0.334 0.666
Al 0.250 0.158 0.842
Al 0.250 0.678 0.839
Al 0.750 0.842 0.158
Al 0.750 0.839 0.678
Zn 0.750 0.322 0.160
Zn 0.250 0.160 0.322


The following is a PBE calculation of a relaxed structure of PrAl6Cu, from OQMD via LeMat-Bulk.

- Electronic total energy: -3.91 eV per atom
- Total magnetic moment: 0.00 μB/f.u.
- Space group: P-6m2

abc: 6.271 6.271 4.449
angles: 90.00 90.00 120.00
Fractional coordinates of all 8 atoms:
Al 0.690 0.845 0.500
Al 0.045 0.523 0.000
Al 0.155 0.310 0.500
Al 0.477 0.523 0.000
Al 0.477 0.955 0.000
Al 0.155 0.845 0.500
Cu 0.000 0.000 0.000
Pr 0.667 0.333 0.500


Q: electronic total energy of number 5 (CuMo4AuN2)?
A: -8.32 eV per atom